! GGA-PBE Nd5AlIn3, optimized geometry; values from VASP
! space group = P6_3/mcm, No. 193
! crystal system = hexagonal
! energy of formation = -0.39 eV/atom
&SYSTEM
  ibrav = 0, nat = 18, ntyp = 3
/
ATOMIC_SPECIES
Nd 144.24 Nd.upf
Al 26.98 Al.upf
In 114.82 In.upf
CELL_PARAMETERS angstrom
9.600 0.000 0.000
-4.800 8.314 0.000
0.000 0.000 6.708
ATOMIC_POSITIONS angstrom
Nd -1.344 2.328 1.677
Nd -3.456 5.986 5.031
Nd 2.688 0.000 1.677
Nd 1.344 2.328 5.031
Nd 0.000 5.543 0.000
Nd 0.000 5.543 3.354
Nd 4.800 2.771 0.000
Nd 4.800 2.771 3.354
Nd 6.912 0.000 5.031
Nd 3.456 5.986 1.677
Al 0.000 0.000 0.000
Al 0.000 0.000 3.354
In -1.783 3.088 5.031
In -3.017 5.226 1.677
In 3.565 0.000 5.031
In 1.783 3.088 1.677
In 6.035 0.000 1.677
In 3.017 5.226 5.031